(1)
Material: InGaBr
Method: DFT, PBE
State: relaxed

For the raw formation energy, the calculation gives -0.2726 eV per atom. The energy above the most stable polymorph in this dataset is 0.0331 eV per atom.

The space group is Cm (No. 8) and the conventional cell measures 16.243, 3.714 and 6.399 Å, with angles of 90.00, 98.44 and 90.00 degrees. The inequivalent atoms are In at (0.000, 0.000, 0.000), In at (0.195, 0.500, 0.320), Ga at (0.057, 0.000, 0.438), Ga at (0.488, 0.000, 0.654), Br at (0.172, 0.000, 0.919) and Br at (0.349, 0.000, 0.401).

---

(2)
Material: In2GaBr
Method: DFT, PBE
State: relaxed

For the raw formation energy, the calculation gives -0.1878 eV per atom. The energy above the most stable polymorph in this dataset is 0.0128 eV per atom.

The space group is P1 (No. 1) and the conventional cell measures 3.617, 6.426 and 9.952 Å, with angles of 85.93, 80.67 and 89.91 degrees. The inequivalent atoms are In at (0.000, 0.000, 0.000), In at (0.055, 0.433, 0.884), In at (0.409, 0.546, 0.166), In at (0.772, 0.669, 0.429), Ga at (0.179, 0.869, 0.629), Ga at (0.584, 0.777, 0.831), Br at (0.193, 0.285, 0.602) and Br at (0.396, 0.057, 0.243).